## K2FeHPt (PBE)

Data for a relaxed K2FeHPt crystal.

a b c (Å): 6.3277 3.3602 6.3277
angles (deg): 90.00 90.00 90.00
Last column: nearest neighbours and their distance in Å.
Positions (direct):
Pt  0.0000  0.0000  0.0000  2 H 1.68
K  0.0000  0.0000  0.5000  2 Pt 3.16, 2 K 3.36
K  0.5000  0.0000  0.0000  2 Pt 3.16, 2 K 3.36
H  0.0000  0.5000  0.0000  2 Pt 1.68
Fe  0.5000  0.5000  0.5000  2 Fe 3.36, 8 K 3.58

Computed properties:
space group: No. 123
E_tot: -3.4012 eV/atom



## KFeHS2 (PBE)

Data for a relaxed KFeHS2 crystal.

a b c (Å): 4.6346 3.9697 4.6346
angles (deg): 90.00 90.00 90.00
Last column: nearest neighbours and their distance in Å.
Positions (direct):
Fe  0.0000  0.0000  0.0000  2 H 1.98
S  0.0000  0.0000  0.5000  2 Fe 2.32
S  0.5000  0.0000  0.0000  2 Fe 2.32
H  0.0000  0.5000  0.0000  2 Fe 1.98
K  0.5000  0.5000  0.5000  8 S 3.05, 4 H 3.28

Computed properties:
space group: No. 123
E_tot: -4.4268 eV/atom